No. 1
Computed, not measured: LiFeCo2O6 after structural relaxation at the GGA+U level of DFT. Values from VASP.

Geometry as Quantum ESPRESSO input:
```
&SYSTEM
  ibrav = 0, nat = 10, ntyp = 4
/
ATOMIC_SPECIES
Li 6.94 Li.upf
Fe 55.84 Fe.upf
Co 58.93 Co.upf
O 16.00 O.upf
ATOMIC_POSITIONS crystal
Li 0.000 0.000 0.000
Fe 0.000 0.000 0.500
Co 0.328 0.328 0.171
Co 0.672 0.672 0.829
O 0.166 0.166 0.626
O 0.174 0.174 0.041
O 0.483 0.483 0.255
O 0.517 0.517 0.745
O 0.826 0.826 0.959
O 0.834 0.834 0.374
CELL_PARAMETERS angstrom
6.311 -1.446 0.000
6.311 1.446 0.000
-1.533 0.000 5.806
```

## Properties
Symmetry ... C2/m, No. 12
Mass density ... 4.33 g cm⁻³

No. 2
Computed, not measured: Li6Fe9CoO20 after structural relaxation at the GGA+U level of DFT. Values from VASP.

Geometry as Quantum ESPRESSO input:
```
&SYSTEM
  ibrav = 0, nat = 36, ntyp = 4
/
ATOMIC_SPECIES
Li 6.94 Li.upf
Fe 55.84 Fe.upf
Co 58.93 Co.upf
O 16.00 O.upf
ATOMIC_POSITIONS crystal
Li 0.000 0.000 0.000
Li 0.005 0.500 0.500
Li 0.376 0.000 0.810
Li 0.381 0.500 0.309
Li 0.754 0.500 0.119
Li 0.761 0.000 0.619
Fe 0.079 0.000 0.210
Fe 0.283 0.500 0.111
Fe 0.285 0.000 0.612
Fe 0.472 0.000 0.008
Fe 0.476 0.500 0.508
Fe 0.676 0.500 0.909
Fe 0.679 0.000 0.410
Fe 0.878 0.000 0.809
Fe 0.880 0.500 0.310
Co 0.080 0.500 0.710
O 0.051 0.000 0.118
O 0.057 0.500 0.618
O 0.100 0.500 0.801
O 0.104 0.000 0.301
O 0.251 0.500 0.017
O 0.256 0.000 0.517
O 0.289 0.000 0.706
O 0.294 0.500 0.206
O 0.461 0.000 0.912
O 0.465 0.500 0.413
O 0.504 0.000 0.102
O 0.507 0.500 0.603
O 0.653 0.500 0.817
O 0.655 0.000 0.318
O 0.703 0.500 0.001
O 0.708 0.000 0.502
O 0.864 0.500 0.215
O 0.871 0.000 0.715
O 0.891 0.000 0.904
O 0.894 0.500 0.405
CELL_PARAMETERS angstrom
5.874 0.000 0.000
0.000 2.877 0.000
-1.850 0.000 20.651
```

## Properties
Symmetry ... Pm, No. 6
Mass density ... 4.39 g cm⁻³

No. 3
Computed, not measured: Li2FeCo3O8 after structural relaxation at the GGA+U level of DFT. Values from VASP.

Geometry as Quantum ESPRESSO input:
```
&SYSTEM
  ibrav = 0, nat = 14, ntyp = 4
/
ATOMIC_SPECIES
Li 6.94 Li.upf
Fe 55.84 Fe.upf
Co 58.93 Co.upf
O 16.00 O.upf
ATOMIC_POSITIONS crystal
Li 0.126 0.126 0.126
Li 0.874 0.874 0.874
Fe 0.500 0.500 0.500
Co 0.000 0.500 0.500
Co 0.500 0.000 0.500
Co 0.500 0.500 0.000
O 0.263 0.263 0.712
O 0.263 0.712 0.263
O 0.267 0.267 0.267
O 0.288 0.737 0.737
O 0.712 0.263 0.263
O 0.733 0.733 0.733
O 0.737 0.288 0.737
O 0.737 0.737 0.288
CELL_PARAMETERS angstrom
2.862 1.652 4.644
-2.862 1.652 4.644
0.000 -3.304 4.644
```

## Properties
Symmetry ... R-3m, No. 166
E above lowest polymorph ... 0.060 eV per atom
Mass density ... 4.72 g cm⁻³

No. 4
Computed, not measured: Li8FeCo3O8 after structural relaxation at the GGA+U level of DFT. Values from VASP.

Geometry as Quantum ESPRESSO input:
```
&SYSTEM
  ibrav = 0, nat = 20, ntyp = 4
/
ATOMIC_SPECIES
Li 6.94 Li.upf
Fe 55.84 Fe.upf
Co 58.93 Co.upf
O 16.00 O.upf
ATOMIC_POSITIONS crystal
Li 0.000 0.000 0.000
Li 0.017 0.513 0.053
Li 0.107 0.874 0.361
Li 0.165 0.203 0.681
Li 0.431 0.565 0.480
Li 0.507 0.037 0.530
Li 0.649 0.814 0.172
Li 0.675 0.324 0.861
Fe 0.400 0.215 0.160
Co 0.387 0.700 0.874
Co 0.877 0.797 0.666
Co 0.892 0.337 0.399
O 0.259 0.807 0.631
O 0.267 0.254 0.416
O 0.273 0.828 0.125
O 0.294 0.334 0.911
O 0.769 0.696 0.915
O 0.770 0.681 0.408
O 0.789 0.205 0.145
O 0.807 0.165 0.643
CELL_PARAMETERS angstrom
5.312 0.000 0.000
-0.316 5.360 0.000
-0.062 -0.155 7.147
```

## Properties
Symmetry ... P1, No. 1
Mass density ... 3.40 g cm⁻³

No. 5
Computed, not measured: Li2FeCo3O8 after structural relaxation at the GGA+U level of DFT. Values from VASP.

Geometry as Quantum ESPRESSO input:
```
&SYSTEM
  ibrav = 0, nat = 14, ntyp = 4
/
ATOMIC_SPECIES
Li 6.94 Li.upf
Fe 55.84 Fe.upf
Co 58.93 Co.upf
O 16.00 O.upf
ATOMIC_POSITIONS crystal
Li 0.000 0.000 0.000
Li 0.375 0.375 0.375
Fe 0.617 0.617 0.617
Co 0.000 0.000 0.489
Co 0.000 0.489 0.000
Co 0.489 0.000 0.000
O 0.217 0.747 0.747
O 0.234 0.234 0.234
O 0.249 0.249 0.788
O 0.249 0.788 0.249
O 0.747 0.217 0.747
O 0.747 0.747 0.217
O 0.757 0.757 0.757
O 0.788 0.249 0.249
CELL_PARAMETERS angstrom
2.839 1.639 4.760
-2.839 1.639 4.760
0.000 -3.278 4.760
```

## Properties
Symmetry ... R3m, No. 160
E above lowest polymorph ... 0.212 eV per atom
Mass density ... 4.68 g cm⁻³

No. 6
Computed, not measured: Li4Fe3CoO8 after structural relaxation at the GGA+U level of DFT. Values from VASP.

Geometry as Quantum ESPRESSO input:
```
&SYSTEM
  ibrav = 0, nat = 16, ntyp = 4
/
ATOMIC_SPECIES
Li 6.94 Li.upf
Fe 55.84 Fe.upf
Co 58.93 Co.upf
O 16.00 O.upf
ATOMIC_POSITIONS crystal
Li 0.000 0.000 0.000
Li 0.000 0.500 0.000
Li 0.500 0.000 0.000
Li 0.500 0.500 0.000
Fe 0.000 0.000 0.500
Fe 0.000 0.500 0.500
Fe 0.500 0.000 0.500
Co 0.500 0.500 0.500
O 0.243 0.243 0.730
O 0.245 0.741 0.727
O 0.254 0.254 0.268
O 0.259 0.755 0.273
O 0.741 0.245 0.727
O 0.746 0.746 0.732
O 0.755 0.259 0.273
O 0.757 0.757 0.270
CELL_PARAMETERS angstrom
5.157 -2.968 0.000
5.157 2.968 0.000
-3.409 0.000 4.894
```

## Properties
Symmetry ... C2/m, No. 12
E above lowest polymorph ... 0.018 eV per atom
Mass density ... 4.24 g cm⁻³

No. 7
Computed, not measured: Li2FeCoO4 after structural relaxation at the GGA+U level of DFT. Values from VASP.

Geometry as Quantum ESPRESSO input:
```
&SYSTEM
  ibrav = 0, nat = 8, ntyp = 4
/
ATOMIC_SPECIES
Li 6.94 Li.upf
Fe 55.84 Fe.upf
Co 58.93 Co.upf
O 16.00 O.upf
ATOMIC_POSITIONS crystal
Li 0.249 0.249 0.249
Li 0.751 0.751 0.751
Fe 0.500 0.500 0.500
Co 0.000 0.000 0.000
O 0.130 0.130 0.130
O 0.372 0.372 0.372
O 0.628 0.628 0.628
O 0.870 0.870 0.870
CELL_PARAMETERS angstrom
1.458 0.842 9.601
-1.458 0.842 9.601
0.000 -1.684 9.601
```

## Properties
Symmetry ... R-3m, No. 166
E above lowest polymorph ... 0.211 eV per atom
Mass density ... 4.52 g cm⁻³

No. 8
Computed, not measured: Li3Fe2Co2O8 after structural relaxation at the GGA+U level of DFT. Values from VASP.

Geometry as Quantum ESPRESSO input:
```
&SYSTEM
  ibrav = 0, nat = 15, ntyp = 4
/
ATOMIC_SPECIES
Li 6.94 Li.upf
Fe 55.84 Fe.upf
Co 58.93 Co.upf
O 16.00 O.upf
ATOMIC_POSITIONS crystal
Li 0.000 0.000 0.000
Li 0.000 0.500 0.500
Li 0.500 0.000 0.500
Fe 0.000 0.500 0.000
Fe 0.500 0.000 0.000
Co 0.500 0.500 0.000
Co 0.500 0.500 0.500
O 0.262 0.262 0.250
O 0.268 0.268 0.782
O 0.274 0.718 0.227
O 0.282 0.726 0.773
O 0.718 0.274 0.227
O 0.726 0.282 0.773
O 0.732 0.732 0.218
O 0.738 0.738 0.750
CELL_PARAMETERS angstrom
5.072 -2.979 0.000
5.072 2.979 0.000
-3.450 0.000 4.815
```

## Properties
Symmetry ... C2/m, No. 12
Mass density ... 4.32 g cm⁻³

No. 9
Computed, not measured: Li4FeCo3O8 after structural relaxation at the GGA+U level of DFT. Values from VASP.

Geometry as Quantum ESPRESSO input:
```
&SYSTEM
  ibrav = 0, nat = 16, ntyp = 4
/
ATOMIC_SPECIES
Li 6.94 Li.upf
Fe 55.84 Fe.upf
Co 58.93 Co.upf
O 16.00 O.upf
ATOMIC_POSITIONS crystal
Li 0.000 0.000 0.000
Li 0.001 0.495 0.253
Li 0.506 0.165 0.752
Li 0.507 0.666 0.505
Fe 0.504 0.662 0.011
Co 0.007 0.001 0.503
Co 0.009 0.501 0.747
Co 0.500 0.162 0.247
O 0.383 0.509 0.767
O 0.384 0.002 0.490
O 0.406 0.983 0.011
O 0.409 0.479 0.243
O 0.875 0.656 0.988
O 0.881 0.159 0.266
O 0.907 0.181 0.744
O 0.910 0.679 0.512
CELL_PARAMETERS angstrom
5.014 0.000 0.000
-0.012 5.625 0.000
-0.022 -0.095 6.360
```

## Properties
Symmetry ... P1, No. 1
E above lowest polymorph ... 0.060 eV per atom
Mass density ... 3.60 g cm⁻³

No. 10
Computed, not measured: Li5Fe5Co2O12 after structural relaxation at the GGA+U level of DFT. Values from VASP.

Geometry as Quantum ESPRESSO input:
```
&SYSTEM
  ibrav = 0, nat = 24, ntyp = 4
/
ATOMIC_SPECIES
Li 6.94 Li.upf
Fe 55.84 Fe.upf
Co 58.93 Co.upf
O 16.00 O.upf
ATOMIC_POSITIONS crystal
Li 0.000 0.000 0.000
Li 0.248 0.258 0.758
Li 0.397 0.075 0.238
Li 0.742 0.752 0.242
Li 0.925 0.603 0.762
Fe 0.074 0.403 0.238
Fe 0.161 0.839 0.500
Fe 0.499 0.501 0.500
Fe 0.597 0.926 0.762
Fe 0.657 0.343 0.000
Co 0.330 0.670 0.000
Co 0.832 0.168 0.500
O 0.025 0.684 0.125
O 0.124 0.130 0.377
O 0.240 0.571 0.621
O 0.316 0.975 0.875
O 0.367 0.378 0.124
O 0.429 0.760 0.379
O 0.526 0.201 0.614
O 0.622 0.633 0.876
O 0.711 0.068 0.128
O 0.799 0.474 0.386
O 0.870 0.876 0.623
O 0.932 0.289 0.872
CELL_PARAMETERS angstrom
2.612 -4.446 0.000
2.612 4.446 0.000
-1.604 0.000 9.691
```

## Properties
Symmetry ... C2, No. 5
Mass density ... 4.60 g cm⁻³

No. 11
Computed, not measured: Li5Fe3Co2O10 after structural relaxation at the GGA+U level of DFT. Values from VASP.

Geometry as Quantum ESPRESSO input:
```
&SYSTEM
  ibrav = 0, nat = 20, ntyp = 4
/
ATOMIC_SPECIES
Li 6.94 Li.upf
Fe 55.84 Fe.upf
Co 58.93 Co.upf
O 16.00 O.upf
ATOMIC_POSITIONS crystal
Li 0.000 0.000 0.000
Li 0.086 0.354 0.779
Li 0.179 0.621 0.494
Li 0.821 0.379 0.506
Li 0.914 0.646 0.221
Fe 0.437 0.607 0.788
Fe 0.500 0.000 0.500
Fe 0.563 0.393 0.212
Co 0.282 0.034 0.211
Co 0.718 0.966 0.789
O 0.120 0.983 0.751
O 0.199 0.323 0.353
O 0.244 0.309 0.020
O 0.432 0.752 0.049
O 0.495 0.720 0.359
O 0.505 0.280 0.641
O 0.568 0.248 0.951
O 0.756 0.691 0.980
O 0.801 0.677 0.647
O 0.880 0.017 0.249
CELL_PARAMETERS angstrom
5.303 0.000 0.000
2.617 4.719 0.000
2.302 0.358 7.932
```

## Properties
Symmetry ... P-1, No. 2
E above lowest polymorph ... 0.386 eV per atom
Mass density ... 4.02 g cm⁻³

No. 12
Computed, not measured: Li2FeCo3O8 after structural relaxation at the GGA+U level of DFT. Values from VASP.

Geometry as Quantum ESPRESSO input:
```
&SYSTEM
  ibrav = 0, nat = 14, ntyp = 4
/
ATOMIC_SPECIES
Li 6.94 Li.upf
Fe 55.84 Fe.upf
Co 58.93 Co.upf
O 16.00 O.upf
ATOMIC_POSITIONS crystal
Li 0.000 0.000 0.000
Li 0.500 0.500 0.000
Fe 0.000 0.000 0.500
Co 0.000 0.500 0.500
Co 0.500 0.000 0.500
Co 0.500 0.500 0.500
O 0.238 0.718 0.705
O 0.244 0.244 0.288
O 0.245 0.245 0.705
O 0.282 0.762 0.295
O 0.718 0.238 0.705
O 0.755 0.755 0.295
O 0.756 0.756 0.712
O 0.762 0.282 0.295
CELL_PARAMETERS angstrom
5.074 -2.877 0.000
5.074 2.877 0.000
-3.452 0.000 4.883
```

## Properties
Symmetry ... C2/m, No. 12
E above lowest polymorph ... 0.053 eV per atom
Mass density ... 4.36 g cm⁻³

no.,E (eV per atom)
1,-5.85
2,-5.83
3,-5.80
4,-5.30
5,-5.65
6,-5.97
7,-5.66
8,-5.90
9,-5.57
10,-6.03
11,-5.49
12,-5.81